Version i
# KSn3Au3 | the Alexandria database | PBE | optimized geometry
data_KSn3Au3
_cell_length_a 4.759
_cell_length_b 7.831
_cell_length_c 9.461
_cell_angle_alpha 90.00
_cell_angle_beta 90.00
_cell_angle_gamma 90.00
_symmetry_space_group_name_H-M 'P m m n'
_symmetry_Int_Tables_number 59
loop_
_symmetry_equiv_pos_as_xyz
'x,y,z'
'-x,-y,-z'
'-x+1/2,-y+1/2,z'
'x+1/2,y+1/2,-z'
'x+1/2,-y,-z'
'-x+1/2,y,z'
'-x,y+1/2,-z'
'x,-y+1/2,z'
loop_
_atom_site_label
_atom_site_fract_x
_atom_site_fract_y
_atom_site_fract_z
K1 0.250 0.250 0.237
Sn1 0.250 0.048 0.621
Sn2 0.250 0.750 0.113
Au1 0.250 0.035 0.916
Au2 0.250 0.750 0.428
# **M_tot**: 0.00 μB per cell


Version ii
# KSn3Au3 | the Alexandria database | PBE | optimized geometry
data_KSn3Au3
_cell_length_a 8.0965
_cell_length_b 8.0965
_cell_length_c 23.5162
_cell_angle_alpha 90.00
_cell_angle_beta 90.00
_cell_angle_gamma 120.00
_symmetry_space_group_name_H-M 'R -3'
_symmetry_Int_Tables_number 148
_symmetry_space_group_name_Hall '-R 3'
loop_
_atom_site_label
_atom_site_fract_x
_atom_site_fract_y
_atom_site_fract_z
K1 0.0000 0.0000 0.1661
Sn1 0.0058 0.7106 0.6087
Au1 0.0083 0.6342 0.3949
# **M_tot**: 0.00 μB per cell


It turns out version i is the most stable, with the second structure 159 meV per atom higher.


Version i
# K3Sn3Au2 | the Alexandria database | PBE | optimized geometry
data_K3Sn3Au2
_cell_length_a 4.567
_cell_length_b 12.855
_cell_length_c 17.958
_cell_angle_alpha 90.00
_cell_angle_beta 90.00
_cell_angle_gamma 90.00
_symmetry_space_group_name_H-M 'C m c m'
_symmetry_Int_Tables_number 63
_symmetry_space_group_name_Hall '-C 2c 2'
loop_
_atom_site_label
_atom_site_fract_x
_atom_site_fract_y
_atom_site_fract_z
K1 0.000 0.025 0.106
K2 0.000 0.343 0.250
Sn1 0.000 0.314 0.039
Sn2 0.000 0.368 0.750
Au1 0.000 0.273 0.616
# **M_tot**: 0.00 μB per cell


Version ii
# K3Sn3Au2 | the Alexandria database | PBE | optimized geometry
data_K3Sn3Au2
_cell_length_a 9.197
_cell_length_b 17.029
_cell_length_c 6.459
_cell_angle_alpha 90.00
_cell_angle_beta 90.00
_cell_angle_gamma 90.00
_symmetry_space_group_name_H-M 'P n m a'
_symmetry_Int_Tables_number 62
loop_
_symmetry_equiv_pos_as_xyz
'x,y,z'
'-x,-y,-z'
'-x+1/2,-y,z+1/2'
'x+1/2,y,-z+1/2'
'x+1/2,-y+1/2,-z+1/2'
'-x+1/2,y+1/2,z+1/2'
'-x,y+1/2,-z'
'x,-y+1/2,z'
loop_
_atom_site_label
_atom_site_fract_x
_atom_site_fract_y
_atom_site_fract_z
K1 0.042 0.114 0.101
K2 0.218 0.250 0.579
Sn1 0.138 0.750 0.564
Sn2 0.183 0.034 0.615
Au1 0.094 0.606 0.392
# **M_tot**: 0.00 μB per cell


It turns out version i is the most stable, with the second structure 65 meV per atom higher.


Version i
# KSn4Au2 | the Alexandria database | PBE | optimized geometry
data_KSn4Au2
_cell_length_a 9.144
_cell_length_b 9.144
_cell_length_c 4.530
_cell_angle_alpha 90.00
_cell_angle_beta 90.00
_cell_angle_gamma 90.00
_symmetry_space_group_name_H-M 'P 42/m n m'
_symmetry_Int_Tables_number 136
_symmetry_space_group_name_Hall '-P 4n 2n'
loop_
_atom_site_label
_atom_site_fract_x
_atom_site_fract_y
_atom_site_fract_z
K1 0.000 0.000 0.000
Sn1 0.076 0.330 0.500
Au1 0.218 0.782 0.500
# **M_tot**: 0.00 μB per cell


Version ii
# KSn4Au2 | the Alexandria database | PBE | optimized geometry
data_KSn4Au2
_cell_length_a 19.589
_cell_length_b 4.835
_cell_length_c 7.638
_cell_angle_alpha 90.00
_cell_angle_beta 90.00
_cell_angle_gamma 90.00
_symmetry_space_group_name_H-M 'P n m a'
_symmetry_Int_Tables_number 62
loop_
_symmetry_equiv_pos_as_xyz
'x,y,z'
'-x,-y,-z'
'-x+1/2,-y,z+1/2'
'x+1/2,y,-z+1/2'
'x+1/2,-y+1/2,-z+1/2'
'-x+1/2,y+1/2,z+1/2'
'-x,y+1/2,-z'
'x,-y+1/2,z'
loop_
_atom_site_label
_atom_site_fract_x
_atom_site_fract_y
_atom_site_fract_z
K1 0.144 0.250 0.025
Sn1 0.034 0.750 0.859
Sn2 0.066 0.250 0.483
Sn3 0.183 0.750 0.327
Sn4 0.190 0.750 0.737
Au1 0.037 0.750 0.244
Au2 0.215 0.250 0.538
# **M_tot**: 0.00 μB per cell


It turns out version ii is the most stable, with the second structure 27 meV per atom higher.